First-principles (PBE with a Hubbard U) data for an optimized crystal structure of Na3Ni2O4, as listed in Alexandria.

a b c (Å): 5.553 10.213 8.593
angles (deg): 90.00 90.00 90.00
Space group Pnma (No. 62)
Unique sites:
Na 0.060 0.093 0.159 (multiplicity 8)
Na 0.148 0.250 0.844 (multiplicity 4)
Ni 0.054 0.121 0.498 (multiplicity 8)
O 0.121 0.750 0.627 (multiplicity 4)
O 0.199 0.525 0.398 (multiplicity 8)
O 0.242 0.750 0.085 (multiplicity 4)

Properties
The calculation puts the total energy at -154.4 eV/cell. Its calculated volume is 13.5 Å³ per atom. For the energy above the lowest structure with this stoichiometry, the calculation gives 0.032 eV/atom.